[1]
# BaAlGe3 PBE-GGA relaxed
data_BaAlGe3
_chemical_formula_sum 'Ba1 Al1 Ge3'
_cell_length_a 5.059
_cell_length_b 5.059
_cell_length_c 5.059
_cell_angle_alpha 90.00
_cell_angle_beta 90.00
_cell_angle_gamma 90.00
_symmetry_space_group_name_H-M 'P m -3 m'
_symmetry_Int_Tables_number 221
_symmetry_space_group_name_Hall '-P 4 2 3'
loop_
_atom_site_label
_atom_site_fract_x
_atom_site_fract_y
_atom_site_fract_z
_atom_site_occupancy
Ba1 0.000 0.000 0.000 1
Al1 0.500 0.500 0.500 1
Ge1 0.000 0.500 0.500 1
# E = -3.909 eV per atom
# spin magnetization = 0.00 μB/cell

[2]
# BaAl4Ge2 PBE-GGA relaxed
data_BaAl4Ge2
_chemical_formula_sum 'Ba2 Al8 Ge4'
_cell_length_a 8.501
_cell_length_b 8.501
_cell_length_c 4.176
_cell_angle_alpha 90.00
_cell_angle_beta 90.00
_cell_angle_gamma 90.00
_symmetry_space_group_name_H-M 'P 42/m n m'
_symmetry_Int_Tables_number 136
_symmetry_space_group_name_Hall '-P 4n 2n'
loop_
_atom_site_label
_atom_site_fract_x
_atom_site_fract_y
_atom_site_fract_z
_atom_site_occupancy
Ba1 0.000 0.000 0.000 1
Al1 0.076 0.350 0.500 1
Ge1 0.222 0.778 0.500 1
# E = -3.896 eV per atom
# spin magnetization = 0.00 μB/cell

[3]
# BaAl2Ge2 PBE-GGA relaxed
data_BaAl2Ge2
_chemical_formula_sum 'Ba2 Al4 Ge4'
_cell_length_a 8.203
_cell_length_b 8.203
_cell_length_c 3.420
_cell_angle_alpha 90.00
_cell_angle_beta 90.00
_cell_angle_gamma 90.00
_symmetry_space_group_name_H-M 'P 4/m b m'
_symmetry_Int_Tables_number 127
_symmetry_space_group_name_Hall '-P 4 2ab'
loop_
_atom_site_label
_atom_site_fract_x
_atom_site_fract_y
_atom_site_fract_z
_atom_site_occupancy
Ba1 0.000 0.000 0.000 1
Al1 0.118 0.382 0.000 1
Ge1 0.156 0.656 0.500 1
# E = -3.788 eV per atom
# spin magnetization = 0.00 μB/cell